This record from the Alexandria database describes a relaxed NpFeGeH2 crystal. The functional is GGA-PBE.

As for the electronic total energy: -0.4988 Ry per atom.

The structure belongs to space group Cmcm (No. 63); the cell edges are 3.871, 10.412 and 5.533 Å and the angles 90.00°, 90.00° and 90.00°. The asymmetric unit holds Np at (0.000, 0.211, 0.250), Fe at (0.000, 0.500, 0.000), Ge at (0.000, 0.072, 0.750) and H at (0.000, 0.346, 0.565).